# 1
Here is a relaxed structure of SmEuRh2 from Alexandria. Energies are from PBE.

```
SmEuRh2
1.0
3.502 0.000 0.000
0.000 3.502 0.000
0.000 0.000 7.054
Sm Eu Rh
1 1 2
Cartesian
0.000 0.000 0.000
0.000 0.000 3.527
1.751 1.751 1.651
1.751 1.751 5.403
```

E_tot (eV/atom): -7.97
Formation energy from the elements (eV per atom): -0.548

---

# 2
Here is a relaxed structure of SmEuRh from Alexandria. Energies are from PBE.

```
SmEuRh
1.0
4.085 0.000 0.000
-2.043 3.538 0.000
0.000 0.000 6.512
Sm Eu Rh
1 1 1
Cartesian
0.000 0.000 0.000
2.043 1.179 3.365
0.000 2.359 5.069
```

E above lowest polymorph (eV/atom): 0.010
E_tot (eV/atom): -7.86
Formation energy from the elements (eV per atom): -0.407

---

# 3
Here is a relaxed structure of EuSnRh2 from Alexandria. Energies are from PBE.

```
EuSnRh2
1.0
4.592 0.000 0.000
0.000 4.592 0.000
0.000 0.000 3.605
Eu Sn Rh
1 1 2
Cartesian
0.000 0.000 0.000
2.296 2.296 0.000
0.000 2.296 1.802
2.296 0.000 1.802
```

E_tot (eV/atom): -7.72
Formation energy from the elements (eV per atom): -0.471

---

Q: Which of these has the highest E_tot?
A: EuSnRh2

---

What did the first record say?
Here is a relaxed structure of SmEuRh2 from Alexandria. Energies are from PBE.

```
SmEuRh2
1.0
3.502 0.000 0.000
0.000 3.502 0.000
0.000 0.000 7.054
Sm Eu Rh
1 1 2
Cartesian
0.000 0.000 0.000
0.000 0.000 3.527
1.751 1.751 1.651
1.751 1.751 5.403
```

E_tot (eV/atom): -7.97
Formation energy from the elements (eV per atom): -0.548

---

Q: Among the records above, which one has the lowest formation energy from the elements?
A: SmEuRh2

---

Q: The highest E_tot belongs to which entry?
A: EuSnRh2